(1)
Entry from Alexandria: a geometry-optimized YZrSc2Se4 structure (PBE).

Cell lengths 6.775, 3.916, 6.857 Å; angles 90.00, 109.43, 90.00 degrees
Space group P2/m (No. 10)
One atom of each set of equivalent atoms:
Y 0.000 0.000 0.000
Zr 0.500 0.500 0.000
Sc 0.000 0.500 0.500
Sc 0.500 0.000 0.500
Se 0.251 0.000 0.740
Se 0.260 0.500 0.264

Computed properties:
Uncorrected formation energy: -1.482 eV per atom
N(E_F): 0.5746 states/eV per atom
Energy: -0.4913 Ry per atom

***

(2)
Entry from Alexandria: a geometry-optimized LaS2N2 structure (PBE).

Cell lengths 4.026, 4.026, 6.512 Å; angles 90.00, 90.00, 90.00 degrees
Space group P4/mmm (No. 123)
One atom of each set of equivalent atoms:
La 0.000 0.000 0.000
S 0.000 0.000 0.500
S 0.500 0.500 0.500
N 0.000 0.500 0.000

Computed properties:
ΔE to the lowest computed polymorph: 4.471 eV per formula unit
Uncorrected formation energy: 1.197 eV per atom
N(E_F): 0.7894 states/eV per atom
Energy: -0.3505 Ry per atom

***

(3)
Entry from Alexandria: a geometry-optimized PmHo3ErTm structure (PBE).

Cell lengths 4.996, 10.013, 7.899 Å; angles 90.00, 108.37, 90.00 degrees
Space group P2_1/m (No. 11)
One atom of each set of equivalent atoms:
Pm 0.000 0.250 0.000
Ho 0.167 0.000 0.334
Ho 0.332 0.250 0.664
Er 0.500 0.000 0.000
Tm 0.333 0.750 0.665

Computed properties:
N(E_F): 1.3499 states/eV per atom
Energy: -0.3355 Ry per atom

***

(4)
Entry from Alexandria: a geometry-optimized BaEuDySbO6 structure (PBE).

Cell lengths 8.454, 8.454, 8.454 Å; angles 90.00, 90.00, 90.00 degrees
Space group F-43m (No. 216)
One atom of each set of equivalent atoms:
Ba 0.000 0.000 0.000
Eu 0.000 0.000 0.500
Dy 0.250 0.250 0.750
Sb 0.250 0.250 0.250
O 0.013 0.250 0.250

Computed properties:
Uncorrected formation energy: -2.621 eV per atom
N(E_F): 0.2159 states/eV per atom
Energy: -0.5651 Ry per atom

***

(5)
Entry from Alexandria: a geometry-optimized CaCo2Os structure (PBE).

Cell lengths 4.560, 4.560, 2.778 Å; angles 90.00, 90.00, 90.00 degrees
Space group P4/mmm (No. 123)
One atom of each set of equivalent atoms:
Ca 0.000 0.000 0.000
Co 0.000 0.500 0.500
Os 0.500 0.500 0.000

Computed properties:
ΔE to the lowest computed polymorph: 0.376 eV per formula unit
N(E_F): 0.8962 states/eV per atom
Energy: -0.4711 Ry per atom

***

(6)
Entry from Alexandria: a geometry-optimized Ba2MgPb2 structure (PBE).

Cell lengths 10.428, 10.428, 3.714 Å; angles 90.00, 90.00, 90.00 degrees
Space group P4/mbm (No. 127)
One atom of each set of equivalent atoms:
Ba 0.129 0.371 0.000
Mg 0.000 0.000 0.000
Pb 0.173 0.673 0.500

Computed properties:
ΔE to the lowest computed polymorph: 1.951 eV per formula unit
N(E_F): 0.6734 states/eV per atom
Energy: -0.1968 Ry per atom

***

(7)
Entry from Alexandria: a geometry-optimized In3C structure (PBE).

Cell lengths 7.023, 7.023, 7.023 Å; angles 90.00, 90.00, 90.00 degrees
Space group Fm-3m (No. 225)
One atom of each set of equivalent atoms:
In 0.000 0.000 0.000
In 0.250 0.250 0.250
C 0.000 0.000 0.500

Computed properties:
N(E_F): 0.2210 states/eV per atom
Energy: -0.2252 Ry per atom

***

(8)
Entry from Alexandria: a geometry-optimized TmPaZnGe structure (PBE).

Cell lengths 7.051, 7.051, 7.051 Å; angles 90.00, 90.00, 90.00 degrees
Space group F-43m (No. 216)
One atom of each set of equivalent atoms:
Tm 0.000 0.000 0.000
Pa 0.000 0.000 0.500
Zn 0.250 0.250 0.250
Ge 0.250 0.250 0.750

Computed properties:
N(E_F): 1.6321 states/eV per atom
Energy: -0.3836 Ry per atom

***

(9)
Entry from Alexandria: a geometry-optimized Cu2TeSe2I structure (PBE).

Cell lengths 7.106, 5.095, 9.835 Å; angles 90.00, 106.73, 90.00 degrees
Space group P2_1/m (No. 11)
One atom of each set of equivalent atoms:
Cu 0.151 0.005 0.160
Te 0.240 0.750 0.491
Se 0.110 0.250 0.379
Se 0.428 0.750 0.294
I 0.200 0.250 0.932

Computed properties:
Uncorrected formation energy: -0.013 eV per atom
N(E_F): 0.3919 states/eV per atom
Energy: -0.2442 Ry per atom

***

(10)
Entry from Alexandria: a geometry-optimized DyHfRu structure (PBE).

Cell lengths 7.020, 4.481, 12.543 Å; angles 90.00, 90.30, 90.00 degrees
Space group P2_1/m (No. 11)
One atom of each set of equivalent atoms:
Dy 0.006 0.250 0.210
Dy 0.376 0.250 0.412
Dy 0.484 0.250 0.121
Hf 0.034 0.750 0.413
Hf 0.145 0.750 0.043
Hf 0.339 0.250 0.714
Ru 0.201 0.750 0.605
Ru 0.230 0.250 0.933
Ru 0.294 0.750 0.255

Computed properties:
ΔE to the lowest computed polymorph: 0.000 eV per formula unit
N(E_F): 0.9443 states/eV per atom
Energy: -0.6134 Ry per atom

***

(11)
Entry from Alexandria: a geometry-optimized Sm8P3AuSe4 structure (PBE).

Cell lengths 8.3117, 8.3117, 20.4991 Å; angles 90.00, 90.00, 120.00 degrees
Space group R-3m (No. 166, hexagonal axes)
One atom of each set of equivalent atoms:
Sm 0.0000 0.0000 0.2431
Sm 0.0100 0.5050 0.7533
P 0.0000 0.5000 0.5000
Au 0.0000 0.0000 0.5000
Se 0.0000 0.0000 0.0000
Se 0.0000 0.5000 0.0000

Computed properties:
Uncorrected formation energy: -1.640 eV per atom
N(E_F): 0.5738 states/eV per atom
Energy: -0.4476 Ry per atom

***

(12)
Entry from Alexandria: a geometry-optimized Al2PtCl2 structure (PBE).

Cell lengths 3.964, 3.964, 11.561 Å; angles 90.00, 90.00, 90.00 degrees
Space group I4/mmm (No. 139)
One atom of each set of equivalent atoms:
Al 0.000 0.000 0.108
Pt 0.000 0.000 0.500
Cl 0.000 0.500 0.250

Computed properties:
ΔE to the lowest computed polymorph: 2.042 eV per formula unit
Uncorrected formation energy: -0.041 eV per atom
N(E_F): 0.1744 states/eV per atom
Energy: -0.2561 Ry per atom

***

Which value of energy does entry 6 give?
-0.1968 Ry per atom

***

Among the records above, which one has the lowest N(E_F)?
Al2PtCl2

***

Among the records above, which one has the lowest N(E_F)?
Al2PtCl2